Compound: WICl3
Source: the Alexandria database
Functional: PBE
Structure: relaxed

Crystal system   cubic

Cell: 5.537 5.537 5.537 Å, 90.00 90.00 90.00°
Last column: magnetic moment on the atom in μB.
Sites, in units of the cell vectors:
Cl1 0.500 0.000 0.000  0.03
Cl2 0.000 0.000 0.500  0.02
Cl3 0.000 0.500 0.000  0.04
I1 0.000 0.000 0.000  0.00
W1 0.500 0.500 0.500  3.65

=====

Compound: W2I3Cl4
Source: the Alexandria database
Functional: PBE
Structure: relaxed

Crystal system   triclinic

Cell: 6.320 11.170 10.260 Å, 66.00 75.28 63.63°
Last column: magnetic moment on the atom in μB.
Sites, in units of the cell vectors:
W1 0.971 0.407 0.127  0.39
W2 0.529 0.075 0.364  0.34
W3 0.029 0.593 0.873  0.39
W4 0.471 0.925 0.636  0.34
Cl1 0.214 0.531 0.077  -0.01
Cl2 0.280 0.750 0.784  0.00
Cl3 0.310 0.928 0.450  -0.01
Cl4 0.720 0.250 0.216  0.00
Cl5 0.849 0.718 0.633  0.01
Cl6 0.786 0.469 0.923  -0.01
Cl7 0.151 0.282 0.367  0.01
Cl8 0.690 0.072 0.550  -0.01
I1 0.900 0.882 0.268  0.03
I2 0.652 0.838 0.908  0.01
I3 0.348 0.162 0.092  0.01
I4 0.622 0.570 0.267  0.04
I5 0.378 0.430 0.733  0.04
I6 0.100 0.118 0.732  0.03

=====

Compound: WICl2
Source: the Alexandria database
Functional: PBE
Structure: relaxed

Crystal system   cubic

Cell: 5.039 5.039 5.039 Å, 60.00 60.00 60.00°
Last column: magnetic moment on the atom in μB.
Sites, in units of the cell vectors:
I1 0.000 0.000 0.000  -0.26
Cl1 0.750 0.750 0.750  -0.08
Cl2 0.250 0.250 0.250  -0.08
W1 0.500 0.500 0.500  2.79

=====

Compound: WI3Cl
Source: the Alexandria database
Functional: PBE
Structure: relaxed

Crystal system   cubic

Cell: 5.688 5.688 5.688 Å, 90.00 90.00 90.00°
Last column: magnetic moment on the atom in μB.
Sites, in units of the cell vectors:
W1 0.500 0.500 0.500  3.51
Cl1 0.000 0.000 0.000  -0.03
I1 0.000 0.500 0.000  -0.04
I2 0.500 0.000 0.000  -0.02
I3 0.000 0.000 0.500  -0.01

=====

Compound: WICl3
Source: the Alexandria database
Functional: PBE
Structure: relaxed

Crystal system   cubic

Cell: 4.855 4.855 4.855 Å, 90.00 90.00 90.00°
Sites, in units of the cell vectors:
I1 0.500 0.500 0.500
Cl1 0.000 0.000 0.500
Cl2 0.000 0.500 0.000
Cl3 0.500 0.000 0.000
W1 0.000 0.000 0.000

=====

Compound: WICl
Source: the Alexandria database
Functional: PBE
Structure: relaxed

Crystal system   triclinic

Cell: 3.247 5.652 10.097 Å, 110.90 91.26 86.65°
Sites, in units of the cell vectors:
Cl1 0.210 0.530 0.149
Cl2 0.790 0.470 0.851
W1 0.779 0.873 0.040
W2 0.221 0.127 0.960
I1 0.243 0.857 0.676
I2 0.757 0.143 0.324

=====

Compound: WICl3
Source: the Alexandria database
Functional: PBE
Structure: relaxed

Crystal system   triclinic

Cell: 6.985 7.047 6.640 Å, 92.74 94.38 98.32°
Sites, in units of the cell vectors:
Cl1 0.682 0.881 0.021
Cl2 0.718 0.854 0.502
Cl3 0.318 0.119 0.979
Cl4 0.681 0.296 0.285
Cl5 0.282 0.146 0.498
Cl6 0.319 0.704 0.715
I1 0.777 0.309 0.776
I2 0.223 0.691 0.224
W1 0.503 0.002 0.705
W2 0.497 0.998 0.295

=====

Compound: WICl2
Source: the Alexandria database
Functional: PBE
Structure: relaxed

Crystal system   trigonal

Cell: 11.997 11.997 11.997 Å, 15.37 15.37 15.37°
Sites, in units of the cell vectors:
Cl1 0.881 0.881 0.881
Cl2 0.119 0.119 0.119
W1 0.500 0.500 0.500
I1 0.000 0.000 0.000

=====

Compound: WI2Cl
Source: the Alexandria database
Functional: PBE
Structure: relaxed

Crystal system   cubic

Cell: 5.154 5.154 5.154 Å, 60.00 60.00 60.00°
Last column: magnetic moment on the atom in μB.
Sites, in units of the cell vectors:
I1 0.250 0.250 0.250  -0.09
I2 0.750 0.750 0.750  -0.09
Cl1 0.000 0.000 0.000  0.05
W1 0.500 0.500 0.500  2.44

=====

Compound: YW2ICl
Source: the Alexandria database
Functional: PBE
Structure: relaxed

Crystal system   tetragonal

Cell: 5.643 5.753 5.643 Å, 90.00 90.00 90.00°
Last column: magnetic moment on the atom in μB.
Sites, in units of the cell vectors:
Y1 0.000 0.000 0.000  0.12
Cl1 0.500 0.500 0.500  0.04
I1 0.000 0.500 0.000  0.10
W1 0.500 0.000 0.000  2.84
W2 0.000 0.000 0.500  2.53

=====

Compound: Y2ICl
Source: the Alexandria database
Functional: PBE
Structure: relaxed

Crystal system   cubic

Cell: 5.192 5.192 5.192 Å, 60.00 60.00 60.00°
Sites, in units of the cell vectors:
I1 0.500 0.500 0.500
Y1 0.250 0.250 0.250
Y2 0.750 0.750 0.750
Cl1 0.000 0.000 0.000

=====

Compound: Y3ICl
Source: the Alexandria database
Functional: PBE
Structure: relaxed

Crystal system   cubic

Cell: 5.248 5.248 5.248 Å, 90.00 90.00 90.00°
Sites, in units of the cell vectors:
Y1 0.000 0.000 0.500
Y2 0.500 0.000 0.000
Y3 0.000 0.500 0.000
I1 0.500 0.500 0.500
Cl1 0.000 0.000 0.000

=====

Compound: Y2ICl
Source: the Alexandria database
Functional: PBE
Structure: relaxed

Crystal system   tetragonal

Cell: 5.068 5.068 10.425 Å, 75.93 75.93 90.00°
Sites, in units of the cell vectors:
Y1 0.375 0.391 0.750
Y2 0.141 0.625 0.250
Y3 0.609 0.125 0.250
Y4 0.875 0.859 0.750
Cl1 0.500 0.500 0.000
Cl2 0.250 0.750 0.500
I1 0.000 0.000 0.000
I2 0.750 0.250 0.500

=====

Compound: Zn2ICl
Source: the Alexandria database
Functional: PBE
Structure: relaxed

Crystal system   tetragonal

Cell: 7.374 7.374 6.603 Å, 56.06 56.06 90.00°
Sites, in units of the cell vectors:
Cl1 0.500 0.500 0.000
Cl2 0.250 0.750 0.500
Zn1 0.598 0.125 0.250
Zn2 0.875 0.848 0.750
Zn3 0.152 0.625 0.250
Zn4 0.375 0.402 0.750
I1 0.750 0.250 0.500
I2 0.000 0.000 0.000

=====

Compound: Zn2ICl
Source: the Alexandria database
Functional: PBE
Structure: relaxed

Crystal system   cubic

Cell: 5.080 5.080 5.080 Å, 60.00 60.00 60.00°
Sites, in units of the cell vectors:
Zn1 0.250 0.250 0.250
Zn2 0.750 0.750 0.750
Cl1 0.000 0.000 0.000
I1 0.500 0.500 0.500

=====

Compound: ZnI3Cl
Source: the Alexandria database
Functional: PBE
Structure: relaxed

Crystal system   cubic

Cell: 5.569 5.569 5.569 Å, 90.00 90.00 90.00°
Last column: magnetic moment on the atom in μB.
Sites, in units of the cell vectors:
Cl1 0.500 0.500 0.500  0.45
I1 0.000 0.000 0.500  0.29
I2 0.000 0.500 0.000  0.31
I3 0.500 0.000 0.000  0.35
Zn1 0.000 0.000 0.000  -0.01

=====

Compound: Zn2ICl
Source: the Alexandria database
Functional: PBE
Structure: relaxed

Crystal system   triclinic

Cell: 4.005 6.671 9.699 Å, 104.66 101.79 90.04°
Sites, in units of the cell vectors:
Zn1 0.813 0.318 0.630
Zn2 0.689 0.201 0.372
Zn3 0.311 0.799 0.628
Zn4 0.187 0.682 0.370
Cl1 0.122 0.310 0.240
Cl2 0.878 0.690 0.760
I1 0.602 0.796 0.199
I2 0.398 0.204 0.801

=====

Compound: Zn2I2Cl
Source: the Alexandria database
Functional: PBE
Structure: relaxed

Crystal system   tetragonal

Cell: 5.106 5.106 6.852 Å, 68.12 68.12 90.00°
Sites, in units of the cell vectors:
I1 0.657 0.657 0.686
I2 0.343 0.343 0.314
Zn1 0.750 0.250 0.500
Zn2 0.250 0.750 0.500
Cl1 0.000 0.000 0.000

=====

Compound: Zn2ICl
Source: the Alexandria database
Functional: PBE
Structure: relaxed

Crystal system   triclinic

Cell: 4.051 7.810 8.745 Å, 102.48 103.26 105.02°
Sites, in units of the cell vectors:
Cl1 0.881 0.596 0.667
Cl2 0.119 0.404 0.333
Zn1 0.603 0.057 0.647
Zn2 0.629 0.292 0.466
Zn3 0.397 0.943 0.353
Zn4 0.371 0.708 0.534
I1 0.735 0.814 0.153
I2 0.265 0.186 0.847

=====

Compound: ZnICl3
Source: the Alexandria database
Functional: PBE
Structure: relaxed

Crystal system   cubic

Cell: 4.975 4.975 4.975 Å, 90.00 90.00 90.00°
Last column: magnetic moment on the atom in μB.
Sites, in units of the cell vectors:
Zn1 0.000 0.000 0.000  0.00
Cl1 0.000 0.000 0.500  0.23
Cl2 0.000 0.500 0.000  0.12
Cl3 0.500 0.000 0.000  0.19
I1 0.500 0.500 0.500  0.93

=====

Compound: Zn2ICl
Source: the Alexandria database
Functional: PBE
Structure: relaxed

Crystal system   triclinic

Cell: 5.751 7.632 7.810 Å, 113.84 109.30 98.28°
Sites, in units of the cell vectors:
I1 0.820 0.727 0.970
I2 0.180 0.273 0.030
Zn1 0.699 0.959 0.294
Zn2 0.301 0.041 0.706
Zn3 0.686 0.952 0.769
Zn4 0.314 0.048 0.231
Cl1 0.845 0.789 0.503
Cl2 0.155 0.211 0.497

=====

Compound: Zn2ICl
Source: the Alexandria database
Functional: PBE
Structure: relaxed

Crystal system   triclinic

Cell: 4.000 5.762 6.937 Å, 66.25 73.57 69.70°
Sites, in units of the cell vectors:
Zn1 0.006 0.297 0.693
Zn2 0.768 0.686 0.780
Cl1 0.110 0.835 0.948
I1 0.681 0.189 0.444

=====

Compound: Zn2ICl
Source: the Alexandria database
Functional: PBE
Structure: relaxed

Crystal system   monoclinic

Cell: 6.691 3.974 9.737 Å, 90.00 109.31 90.00°
Sites, in units of the cell vectors:
Cl1 0.263 0.000 0.422
Cl2 0.013 0.000 0.902
Zn1 0.044 0.500 0.291
Zn2 0.919 0.500 0.033
Zn3 0.403 0.000 0.033
Zn4 0.527 0.000 0.292
I1 0.494 0.500 0.861
I2 0.784 0.500 0.463

=====

Compound: ZnI3Cl
Source: the Alexandria database
Functional: PBE
Structure: relaxed

Crystal system   cubic

Cell: 5.760 5.760 5.760 Å, 90.00 90.00 90.00°
Sites, in units of the cell vectors:
I1 0.000 0.500 0.000
I2 0.000 0.000 0.500
I3 0.500 0.000 0.000
Cl1 0.000 0.000 0.000
Zn1 0.500 0.500 0.500

=====

How do the records compare in N(E_F)? In the order shown, they have 20.8; 5.6; 3.1; 9.5; 4.8; 3.8; 1.2; 2.2; 1.8; 9.9; 1.4; 7.0; 8.0; 0.5; 2.3; 7.6; 0.0; 1.1; 0.0; 1.7; 0.0; 0.0; 0.0; 4.2 states/eV per cell.
How do the records compare in total magnetic moment? In the order shown, they have 5.3; 1.0; 3.0; 4.7; 0.0; 0.0; 0.0; 0.0; 3.0; 7.7; 0.0; 0.0; 0.0; 0.0; 0.0; 2.0; 0.0; 0.0; 0.0; 2.0; 0.0; 0.0; 0.0; 0.0 μB per formula unit.
How do the records compare in raw formation energy? In the order shown, they have 6.9; -3.7; 4.8; 8.1; 0.4; -0.3; -3.0; -0.1; 3.6; 11.3; -2.9; -1.3; -2.9; -0.4; -0.1; 0.6; -2.1; -1.0; -2.2; -1.5; -2.2; -2.1; -2.1; 2.4 eV/f.u..